[1]
Density functional theory data (PBE-GGA) for a relaxed structure of LiH2Rh2.

Properties
The value obtained for the magnetization is 1.6 μB per cell. Its electronic total energy is -43.97 eV per cell. The calculation puts the density of states at the Fermi level at 0.926 states/eV/atom.

Cell and atoms, written as CIF:
```
data_LiH2Rh2
_symmetry_space_group_name_H-M 'P 4/m b m'
_symmetry_Int_Tables_number 127
_symmetry_space_group_name_Hall '-P 4 2ab'
_cell_length_a 6.181
_cell_length_b 6.181
_cell_length_c 2.678
_cell_angle_alpha 90.00
_cell_angle_beta 90.00
_cell_angle_gamma 90.00
loop_
_atom_site_label
_atom_site_fract_x
_atom_site_fract_y
_atom_site_fract_z
_atom_site_occupancy
Li1 0.000 0.000 0.000 1
H1 0.222 0.278 0.500 1
Rh1 0.144 0.644 0.000 1
```

[2]
Density functional theory data (PBE-GGA) for a relaxed structure of Li2H7Rh.

Properties
The value obtained for the magnetization is 0.0 μB per cell. Its electronic total energy is -146.57 eV per cell. The calculation puts the density of states at the Fermi level at 0.000 states/eV/atom.

Cell and atoms, written as CIF:
```
data_Li2H7Rh
_symmetry_space_group_name_H-M 'C 1 2/c 1'
_symmetry_Int_Tables_number 15
_symmetry_space_group_name_Hall '-C 2yc'
_cell_length_a 11.849
_cell_length_b 4.729
_cell_length_c 8.233
_cell_angle_alpha 90.00
_cell_angle_beta 126.78
_cell_angle_gamma 90.00
loop_
_atom_site_label
_atom_site_fract_x
_atom_site_fract_y
_atom_site_fract_z
_atom_site_occupancy
Li1 0.073 0.230 0.496 1
H1 0.000 0.422 0.250 1
H2 0.092 0.244 0.001 1
H3 0.098 0.021 0.273 1
H4 0.142 0.358 0.788 1
Rh1 0.000 0.242 0.750 1
```

[3]
Density functional theory data (PBE-GGA) for a relaxed structure of LiHRh3.

Properties
The value obtained for the magnetization is 0.0 μB per cell. Its electronic total energy is -27.60 eV per cell. The calculation puts the density of states at the Fermi level at 1.254 states/eV/atom.

Cell and atoms, written as CIF:
```
data_LiHRh3
_symmetry_space_group_name_H-M 'P m -3 m'
_symmetry_Int_Tables_number 221
_symmetry_space_group_name_Hall '-P 4 2 3'
_cell_length_a 3.867
_cell_length_b 3.867
_cell_length_c 3.867
_cell_angle_alpha 90.00
_cell_angle_beta 90.00
_cell_angle_gamma 90.00
loop_
_atom_site_label
_atom_site_fract_x
_atom_site_fract_y
_atom_site_fract_z
_atom_site_occupancy
Li1 0.000 0.000 0.000 1
H1 0.500 0.500 0.500 1
Rh1 0.000 0.500 0.500 1
```

[4]
Density functional theory data (PBE-GGA) for a relaxed structure of Li5H12Rh3.

Properties
The value obtained for the magnetization is 0.0 μB per cell. Its electronic total energy is -599.81 eV per cell. The calculation puts the density of states at the Fermi level at 0.138 states/eV/atom.

Cell and atoms, written as CIF:
```
data_Li5H12Rh3
_symmetry_space_group_name_H-M 'I a -3 d'
_symmetry_Int_Tables_number 230
_symmetry_space_group_name_Hall '-I 4bd 2c 3'
_cell_length_a 10.525
_cell_length_b 10.525
_cell_length_c 10.525
_cell_angle_alpha 90.00
_cell_angle_beta 90.00
_cell_angle_gamma 90.00
loop_
_atom_site_label
_atom_site_fract_x
_atom_site_fract_y
_atom_site_fract_z
_atom_site_occupancy
Li1 0.000 0.000 0.000 1
Li2 0.000 0.250 0.375 1
H1 0.009 0.082 0.657 1
Rh1 0.000 0.250 0.125 1
```

[5]
Density functional theory data (PBE-GGA) for a relaxed structure of LiH2Rh2.

Properties
The value obtained for the magnetization is 1.6 μB per cell. Its electronic total energy is -47.17 eV per cell. The calculation puts the density of states at the Fermi level at 0.537 states/eV/atom.

Cell and atoms, written as CIF:
```
data_LiH2Rh2
_symmetry_space_group_name_H-M 'I 4/m m m'
_symmetry_Int_Tables_number 139
_symmetry_space_group_name_Hall '-I 4 2'
_cell_length_a 3.476
_cell_length_b 3.476
_cell_length_c 8.049
_cell_angle_alpha 90.00
_cell_angle_beta 90.00
_cell_angle_gamma 90.00
loop_
_atom_site_label
_atom_site_fract_x
_atom_site_fract_y
_atom_site_fract_z
_atom_site_occupancy
Li1 0.000 0.000 0.000 1
H1 0.000 0.500 0.250 1
Rh1 0.000 0.000 0.335 1
```

[6]
Density functional theory data (PBE-GGA) for a relaxed structure of Li4H4Rh.

Properties
The value obtained for the magnetization is 0.0 μB per cell. Its electronic total energy is -61.63 eV per cell. The calculation puts the density of states at the Fermi level at 0.305 states/eV/atom.

Cell and atoms, written as CIF:
```
data_Li4H4Rh
_symmetry_space_group_name_H-M 'P 42/n m c'
_symmetry_Int_Tables_number 137
_cell_length_a 5.633
_cell_length_b 5.633
_cell_length_c 5.135
_cell_angle_alpha 90.00
_cell_angle_beta 90.00
_cell_angle_gamma 90.00
loop_
_symmetry_equiv_pos_as_xyz
'x,y,z'
'-x,-y,-z'
'-y+1/2,x,z+1/2'
'y+1/2,-x,-z+1/2'
'-x+1/2,-y+1/2,z'
'x+1/2,y+1/2,-z'
'y,-x+1/2,z+1/2'
'-y,x+1/2,-z+1/2'
'x+1/2,-y,-z'
'-x+1/2,y,z'
'-y,-x,-z+1/2'
'y,x,z+1/2'
'-x,y+1/2,-z'
'x,-y+1/2,z'
'y+1/2,x+1/2,-z+1/2'
'-y+1/2,-x+1/2,z+1/2'
loop_
_atom_site_label
_atom_site_fract_x
_atom_site_fract_y
_atom_site_fract_z
_atom_site_occupancy
Li1 0.036 0.250 0.137 1
H1 0.031 0.750 0.483 1
Rh1 0.250 0.750 0.250 1
```